# 1
The following is a PBE calculation of a relaxed CoReRu2 crystal, from the Alexandria database.

Results
The calculation puts the calculated volume at 13.44 Å³/atom. The value obtained for the relative energy among the computed polymorphs is 53 meV per atom. As for the density of states at the Fermi level: 5.16 states/eV/f.u. The magnetic moment comes out at 0.8 Bohr magnetons per cell. The formation energy comes out at 48 kJ/mol of formula units.

```
data_CoReRu2
_chemical_formula_sum 'Co1 Re1 Ru2'
_symmetry_space_group_name_H-M 'P 1'
_symmetry_Int_Tables_number 1
_symmetry_space_group_name_Hall 'P 1'
_cell_length_a 2.698
_cell_length_b 2.698
_cell_length_c 7.384
_cell_angle_alpha 90.00
_cell_angle_beta 90.00
_cell_angle_gamma 90.00
loop_
_atom_site_label
_atom_site_type_symbol
_atom_site_fract_x
_atom_site_fract_y
_atom_site_fract_z
Co1 Co 0.000 0.000 0.000
Re1 Re 0.000 0.000 0.500
Ru1 Ru 0.500 0.500 0.238
Ru2 Ru 0.500 0.500 0.762
```



# 2
The following is a PBE calculation of a relaxed CoReRu2 crystal, from the Alexandria database.

Results
The calculation puts the calculated volume at 13.46 Å³/atom. The value obtained for the relative energy among the computed polymorphs is 51 meV per atom. As for the density of states at the Fermi level: 5.18 states/eV/f.u. The magnetic moment comes out at 0.5 Bohr magnetons per cell. The formation energy comes out at 47 kJ/mol of formula units.

```
data_CoReRu2
_chemical_formula_sum 'Co1 Re1 Ru2'
_symmetry_space_group_name_H-M 'P 1'
_symmetry_Int_Tables_number 1
_symmetry_space_group_name_Hall 'P 1'
_cell_length_a 4.612
_cell_length_b 4.612
_cell_length_c 4.614
_cell_angle_alpha 99.56
_cell_angle_beta 99.56
_cell_angle_gamma 33.85
loop_
_atom_site_label
_atom_site_type_symbol
_atom_site_fract_x
_atom_site_fract_y
_atom_site_fract_z
Co1 Co 0.000 0.000 0.000
Re1 Re 0.254 0.254 0.766
Ru1 Ru 0.500 0.500 0.503
Ru2 Ru 0.750 0.750 0.253
```



# 3
The following is a PBE calculation of a relaxed CoReRu2 crystal, from the Alexandria database.

Results
The calculation puts the calculated volume at 13.66 Å³/atom. The value obtained for the relative energy among the computed polymorphs is 238 meV per atom. As for the density of states at the Fermi level: 5.91 states/eV/f.u. The magnetic moment comes out at 1.3 Bohr magnetons per cell. The formation energy comes out at 119 kJ/mol of formula units.

```
data_CoReRu2
_chemical_formula_sum 'Co1 Re1 Ru2'
_symmetry_space_group_name_H-M 'P 1'
_symmetry_Int_Tables_number 1
_symmetry_space_group_name_Hall 'P 1'
_cell_length_a 5.207
_cell_length_b 5.207
_cell_length_c 5.207
_cell_angle_alpha 149.13
_cell_angle_beta 130.52
_cell_angle_gamma 59.47
loop_
_atom_site_label
_atom_site_type_symbol
_atom_site_fract_x
_atom_site_fract_y
_atom_site_fract_z
Co1 Co 0.000 0.000 0.000
Re1 Re 0.778 0.278 0.500
Ru1 Ru 0.225 0.725 0.500
Ru2 Ru 0.503 0.503 0.000
```



# 4
The following is a PBE calculation of a relaxed CoReRu2 crystal, from the Alexandria database.

Results
The calculation puts the calculated volume at 13.38 Å³/atom. The value obtained for the relative energy among the computed polymorphs is 44 meV per atom. As for the density of states at the Fermi level: 4.89 states/eV/f.u. The magnetic moment comes out at 0.2 Bohr magnetons per cell. The formation energy comes out at 44 kJ/mol of formula units.

```
data_CoReRu2
_chemical_formula_sum 'Co1 Re1 Ru2'
_symmetry_space_group_name_H-M 'P 1'
_symmetry_Int_Tables_number 1
_symmetry_space_group_name_Hall 'P 1'
_cell_length_a 2.680
_cell_length_b 2.680
_cell_length_c 7.448
_cell_angle_alpha 90.00
_cell_angle_beta 90.00
_cell_angle_gamma 90.00
loop_
_atom_site_label
_atom_site_type_symbol
_atom_site_fract_x
_atom_site_fract_y
_atom_site_fract_z
Co1 Co 0.000 0.000 0.000
Re1 Re 0.500 0.500 0.232
Ru1 Ru 0.000 0.000 0.503
Ru2 Ru 0.500 0.500 0.754
```



# 5
The following is a PBE calculation of a relaxed CoReRu2 crystal, from the Alexandria database.

Results
The calculation puts the calculated volume at 19.22 Å³/atom. The value obtained for the relative energy among the computed polymorphs is 1133 meV per atom. As for the density of states at the Fermi level: 3.96 states/eV/f.u. The magnetic moment comes out at 0.0 Bohr magnetons per cell. The formation energy comes out at 465 kJ/mol of formula units.

```
data_CoReRu2
_chemical_formula_sum 'Co2 Re2 Ru4'
_symmetry_space_group_name_H-M 'P 1'
_symmetry_Int_Tables_number 1
_symmetry_space_group_name_Hall 'P 1'
_cell_length_a 6.606
_cell_length_b 6.606
_cell_length_c 6.606
_cell_angle_alpha 132.50
_cell_angle_beta 132.50
_cell_angle_gamma 69.44
loop_
_atom_site_label
_atom_site_type_symbol
_atom_site_fract_x
_atom_site_fract_y
_atom_site_fract_z
Co1 Co 0.000 0.000 0.000
Co2 Co 0.750 0.250 0.500
Re1 Re 0.250 0.750 0.500
Re2 Re 0.500 0.500 0.000
Ru1 Ru 0.101 0.625 0.976
Ru2 Ru 0.375 0.351 0.476
Ru3 Ru 0.649 0.125 0.024
Ru4 Ru 0.875 0.899 0.524
```



# 6
The following is a PBE calculation of a relaxed CoReRu2 crystal, from the Alexandria database.

Results
The calculation puts the calculated volume at 13.62 Å³/atom. The value obtained for the relative energy among the computed polymorphs is 95 meV per atom. As for the density of states at the Fermi level: 6.00 states/eV/f.u. The magnetic moment comes out at 1.4 Bohr magnetons per cell. The formation energy comes out at 64 kJ/mol of formula units.

```
data_CoReRu2
_chemical_formula_sum 'Co1 Re1 Ru2'
_symmetry_space_group_name_H-M 'P 1'
_symmetry_Int_Tables_number 1
_symmetry_space_group_name_Hall 'P 1'
_cell_length_a 8.762
_cell_length_b 8.762
_cell_length_c 8.762
_cell_angle_alpha 17.73
_cell_angle_beta 17.73
_cell_angle_gamma 17.73
loop_
_atom_site_label
_atom_site_type_symbol
_atom_site_fract_x
_atom_site_fract_y
_atom_site_fract_z
Co1 Co 0.000 0.000 0.000
Re1 Re 0.748 0.748 0.748
Ru1 Ru 0.253 0.253 0.253
Ru2 Ru 0.501 0.501 0.501
```



# 7
The following is a PBE calculation of a relaxed CoReRu4 crystal, from the Alexandria database.

Results
The calculation puts the calculated volume at 14.73 Å³/atom. As for the density of states at the Fermi level: 10.52 states/eV/f.u. The magnetic moment comes out at 3.3 Bohr magnetons per cell. The formation energy comes out at 372 kJ/mol of formula units.

```
data_CoReRu4
_chemical_formula_sum 'Co1 Re1 Ru4'
_symmetry_space_group_name_H-M 'P 1'
_symmetry_Int_Tables_number 1
_symmetry_space_group_name_Hall 'P 1'
_cell_length_a 4.999
_cell_length_b 4.999
_cell_length_c 4.999
_cell_angle_alpha 60.00
_cell_angle_beta 60.00
_cell_angle_gamma 60.00
loop_
_atom_site_label
_atom_site_type_symbol
_atom_site_fract_x
_atom_site_fract_y
_atom_site_fract_z
Co1 Co 0.000 0.000 0.000
Re1 Re 0.750 0.750 0.750
Ru1 Ru 0.375 0.375 0.375
Ru2 Ru 0.375 0.375 0.876
Ru3 Ru 0.375 0.876 0.375
Ru4 Ru 0.876 0.375 0.375
```



# 8
The following is a PBE calculation of a relaxed CoReRu crystal, from the Alexandria database.

Results
The calculation puts the calculated volume at 13.35 Å³/atom. The value obtained for the relative energy among the computed polymorphs is 73 meV per atom. As for the density of states at the Fermi level: 3.89 states/eV/f.u. The magnetic moment comes out at 0.0 Bohr magnetons per cell. The formation energy comes out at 37 kJ/mol of formula units.

```
data_CoReRu
_chemical_formula_sum 'Co1 Re1 Ru1'
_symmetry_space_group_name_H-M 'P 1'
_symmetry_Int_Tables_number 1
_symmetry_space_group_name_Hall 'P 1'
_cell_length_a 4.163
_cell_length_b 4.163
_cell_length_c 2.668
_cell_angle_alpha 90.00
_cell_angle_beta 90.00
_cell_angle_gamma 120.00
loop_
_atom_site_label
_atom_site_type_symbol
_atom_site_fract_x
_atom_site_fract_y
_atom_site_fract_z
Co1 Co 0.000 0.000 0.000
Re1 Re 0.667 0.333 0.000
Ru1 Ru 0.333 0.667 0.500
```